# 1
DFT (PBE-GGA) results for a geometry-optimized SrCaCu structure.

space group: F-43m (216)
ΔE to the lowest computed polymorph: 72.9 kJ/mol of atoms

Cell lengths 7.5081, 7.5081, 7.5081 Å; angles 90.00, 90.00, 90.00 degrees
With the nearest neighbours (Å) after each atom.
Positions (direct):
Sr: 0.0000 0.0000 0.0000  4 Ca 3.25, 4 Cu 3.25
Sr: 0.0000 0.5000 0.5000  4 Ca 3.25, 4 Cu 3.25
Sr: 0.5000 0.0000 0.5000  4 Ca 3.25, 4 Cu 3.25
Sr: 0.5000 0.5000 0.0000  4 Ca 3.25, 4 Cu 3.25
Ca: 0.2500 0.2500 0.7500  4 Sr 3.25
Ca: 0.2500 0.7500 0.2500  4 Sr 3.25
Ca: 0.7500 0.2500 0.2500  4 Sr 3.25
Ca: 0.7500 0.7500 0.7500  4 Sr 3.25
Cu: 0.2500 0.2500 0.2500  4 Sr 3.25
Cu: 0.2500 0.7500 0.7500  4 Sr 3.25
Cu: 0.7500 0.2500 0.7500  4 Sr 3.25
Cu: 0.7500 0.7500 0.2500  4 Sr 3.25

---

# 2
DFT (PBE-GGA) results for a geometry-optimized SrCaCu10 structure.

space group: Pmmm (47)

Cell lengths 4.0403, 5.1981, 8.9926 Å; angles 90.00, 90.00, 90.00 degrees
With the nearest neighbours (Å) after each atom.
Positions (direct):
Sr: 0.0000 0.0000 0.0000  18 Cu 3.03-3.33
Ca: 0.0000 0.5000 0.5000  18 Cu 2.94-3.29
Cu: 0.0000 0.0000 0.3397  6 Cu 2.48-2.53
Cu: 0.0000 0.0000 0.6603  6 Cu 2.48-2.53
Cu: 0.0000 0.5000 0.1731  6 Cu 2.51-2.55
Cu: 0.0000 0.5000 0.8269  6 Cu 2.51-2.55
Cu: 0.5000 0.0000 0.5000  8 Cu 2.48-2.56
Cu: 0.5000 0.2524 0.2553  8 Cu 2.51-2.63
Cu: 0.5000 0.2524 0.7447  8 Cu 2.51-2.63
Cu: 0.5000 0.5000 0.0000  8 Cu 2.55-2.63
Cu: 0.5000 0.7476 0.2553  8 Cu 2.51-2.63
Cu: 0.5000 0.7476 0.7447  8 Cu 2.51-2.63

---

# 3
DFT (PBE-GGA) results for a geometry-optimized Sr2CaCu2 structure.

space group: I4/mmm (139)
ΔE to the lowest computed polymorph: 19.4 kJ/mol of atoms

Cell lengths 4.9938, 4.9938, 12.7185 Å; angles 90.00, 90.00, 90.00 degrees
With the nearest neighbours (Å) after each atom.
Positions (direct):
Sr: 0.0000 0.5000 0.2500  4 Cu 3.19, 4 Sr 3.53
Sr: 0.0000 0.5000 0.7500  4 Cu 3.19, 4 Sr 3.53
Sr: 0.5000 0.0000 0.2500  4 Cu 3.19, 4 Sr 3.53
Sr: 0.5000 0.0000 0.7500  4 Cu 3.19, 4 Sr 3.53
Ca: 0.0000 0.0000 0.0000  8 Cu 3.73, 8 Sr 4.04
Ca: 0.5000 0.5000 0.5000  8 Cu 3.73, 8 Sr 4.04
Cu: 0.0000 0.0000 0.4056  1 Cu 2.40
Cu: 0.0000 0.0000 0.5944  1 Cu 2.40
Cu: 0.5000 0.5000 0.0944  1 Cu 2.40
Cu: 0.5000 0.5000 0.9056  1 Cu 2.40

---

# 4
DFT (PBE-GGA) results for a geometry-optimized SrCa4Cu2 structure.

space group: P2_1/m (11)

Cell lengths 8.2188, 6.7793, 8.8441 Å; angles 90.00, 112.64, 90.00 degrees
With the nearest neighbours (Å) after each atom.
Positions (direct):
Sr: 0.0012 0.2500 0.3419  3 Cu 3.21-3.58
Sr: 0.9988 0.7500 0.6581  3 Cu 3.21-3.58
Ca: 0.2430 0.0005 0.0808  4 Cu 3.08-3.18, 2 Ca 3.38-3.40
Ca: 0.2430 0.4995 0.0808  4 Cu 3.08-3.18, 2 Ca 3.38-3.40
Ca: 0.3384 0.2500 0.7664  2 Cu 2.98-3.03
Ca: 0.3859 0.7500 0.5182  2 Cu 3.09-3.16
Ca: 0.6141 0.2500 0.4818  2 Cu 3.09-3.16
Ca: 0.6616 0.7500 0.2336  2 Cu 2.98-3.03
Ca: 0.7570 0.9995 0.9192  4 Cu 3.08-3.18, 2 Ca 3.38-3.40
Ca: 0.7570 0.5005 0.9192  4 Cu 3.08-3.18, 2 Ca 3.38-3.40
Cu: 0.0179 0.7500 0.2180  6 Ca 2.98-3.17
Cu: 0.4137 0.7500 0.8763  6 Ca 3.03-3.18, 1 Sr 3.21
Cu: 0.5863 0.2500 0.1237  6 Ca 3.03-3.18, 1 Sr 3.21
Cu: 0.9821 0.2500 0.7820  6 Ca 2.98-3.17

---

# 5
DFT (PBE-GGA) results for a geometry-optimized Sr2Ca4Cu structure.

space group: I4/mmm (139)

Cell lengths 5.6113, 5.6113, 19.9860 Å; angles 90.00, 90.00, 90.00 degrees
With the nearest neighbours (Å) after each atom.
Positions (direct):
Sr: 0.0000 0.0000 0.1640  9 Ca 3.90-4.32
Sr: 0.0000 0.0000 0.8360  9 Ca 3.90-4.32
Sr: 0.5000 0.5000 0.3360  9 Ca 3.90-4.32
Sr: 0.5000 0.5000 0.6640  9 Ca 3.90-4.32
Ca: 0.0000 0.0000 0.3591  1 Cu 2.82
Ca: 0.0000 0.0000 0.6409  1 Cu 2.82
Ca: 0.0000 0.5000 0.0000  2 Cu 2.81
Ca: 0.0000 0.5000 0.5000  2 Cu 2.81
Ca: 0.5000 0.0000 0.0000  2 Cu 2.81
Ca: 0.5000 0.0000 0.5000  2 Cu 2.81
Ca: 0.5000 0.5000 0.1409  1 Cu 2.82
Ca: 0.5000 0.5000 0.8591  1 Cu 2.82
Cu: 0.0000 0.0000 0.5000  6 Ca 2.81-2.82
Cu: 0.5000 0.5000 0.0000  6 Ca 2.81-2.82

---

# 6
DFT (PBE-GGA) results for a geometry-optimized Sr4CaCu structure.

space group: F-43m (216)

Cell lengths 7.5175, 7.5175, 7.5175 Å; angles 60.00, 60.00, 60.00 degrees
With the nearest neighbours (Å) after each atom.
Positions (direct):
Sr: 0.1249 0.1249 0.1249  6 Sr 3.75-3.76
Sr: 0.1249 0.1249 0.6254  6 Sr 3.75-3.76
Sr: 0.1249 0.6254 0.1249  6 Sr 3.75-3.76
Sr: 0.6254 0.1249 0.1249  6 Sr 3.75-3.76
Ca: 0.7500 0.7500 0.7500  12 Sr 4.41, 4 Cu 4.60
Cu: 0.5000 0.5000 0.5000  12 Sr 4.41, 4 Ca 4.60

---

# 7
DFT (PBE-GGA) results for a geometry-optimized SrCaCu structure.

space group: C2/m (12)
ΔE to the lowest computed polymorph: 2.7 kJ/mol of atoms

Cell lengths 13.1806, 4.2833, 8.8419 Å; angles 90.00, 127.20, 90.00 degrees
With the nearest neighbours (Å) after each atom.
Positions (direct):
Sr: 0.0754 0.0000 0.3591  4 Cu 3.19-3.23
Sr: 0.4246 0.5000 0.6409  4 Cu 3.19-3.23
Sr: 0.5754 0.5000 0.3591  4 Cu 3.19-3.23
Sr: 0.9246 0.0000 0.6409  4 Cu 3.19-3.23
Ca: 0.1855 0.5000 0.0895  3 Cu 3.07-3.28
Ca: 0.3145 0.0000 0.9105  3 Cu 3.07-3.28
Ca: 0.6855 0.0000 0.0895  3 Cu 3.07-3.28
Ca: 0.8145 0.5000 0.9105  3 Cu 3.07-3.28
Cu: 0.1123 0.5000 0.6630  1 Cu 2.60
Cu: 0.3877 0.0000 0.3370  1 Cu 2.60
Cu: 0.6123 0.0000 0.6630  1 Cu 2.60
Cu: 0.8877 0.5000 0.3370  1 Cu 2.60

---

# 8
DFT (PBE-GGA) results for a geometry-optimized SrCaCu structure.

space group: P2_1/m (11)
ΔE to the lowest computed polymorph: 0.0 kJ/mol of atoms

Cell lengths 4.2267, 4.2727, 11.3835 Å; angles 90.00, 100.67, 90.00 degrees
With the nearest neighbours (Å) after each atom.
Positions (direct):
Sr: 0.1835 0.2500 0.3662  1 Cu 3.41
Sr: 0.8165 0.7500 0.6338  1 Cu 3.41
Ca: 0.4335 0.2500 0.8675  6 Cu 3.03-3.11
Ca: 0.5665 0.7500 0.1325  6 Cu 3.03-3.11
Cu: 0.0310 0.2500 0.0616  2 Cu 2.54
Cu: 0.9690 0.7500 0.9384  2 Cu 2.54

---

ΔE_f values (in kJ/mol of atoms) by entry order: 64; -9; 13; -2; 10; 52; -6; -9.
Total magnetization values (in μB/f.u.) by entry order: 0.0; 0.0; 0.0; 0.0; 0.0; 0.0; 0.0; 0.0.